SiW2S: relaxed, PBE.

Calculated values
* final energy: -66.4 eV for the cell shown
* relative energy among the computed polymorphs: 355 meV/atom
* magnetic moment: 0.00 μB/atom
* uncorrected formation energy: 0.567 eV per atom
* density of states at the Fermi level: 0.676 states/eV/atom

Cell lengths 3.9274, 3.9274, 8.8703 Å; angles 77.21, 77.21, 90.00 degrees
Fractional positions:
Si (0.2500, 0.7500, 0.5000)
W (0.8750, 0.8904, 0.7500)
W (0.6404, 0.1250, 0.2500)
S (0.0000, 0.0000, 0.0000)
W (0.1096, 0.6250, 0.2500)
Si (0.5000, 0.5000, 0.0000)
W (0.3750, 0.3596, 0.7500)
S (0.7500, 0.2500, 0.5000)